(1)
Below is crystalline TcH2Se at its relaxed geometry, with properties calculated at the PBE-GGA level.

Lattice parameters (Å, degrees): 3.2470 3.2470 13.2119 90.00 90.00 120.00
Space group R3m (No. 160, hexagonal axes)
Inequivalent atoms, fractional coordinates:
Tc: 0.0000 0.0000 0.0000 x3
H: 0.0000 0.0000 0.3725 x3
H: 0.0000 0.0000 0.6896 x3
Se: 0.0000 0.0000 0.1879 x3

E_tot (eV/atom): -4.952
Magnetic moment (μB/cell): 0.3

=====

(2)
Below is crystalline RbLiUSe3 at its relaxed geometry, with properties calculated at the PBE-GGA level.

Lattice parameters (Å, degrees): 4.2299 14.9041 10.9680 90.00 90.00 90.00
Space group Cmcm (No. 63)
Inequivalent atoms, fractional coordinates:
Rb: 0.0000 0.2396 0.2500 x4
Li: 0.0000 0.0404 0.7500 x4
U: 0.0000 0.5000 0.0000 x4
Se: 0.0000 0.1232 0.5493 x8
Se: 0.0000 0.4477 0.7500 x4

E_tot (eV/atom): -5.384
Magnetic moment (μB/cell): 8.0

=====

> Which of these has the lowest E_tot?

RbLiUSe3

=====

> What is the formula in the first record?

TcH2Se

=====

> Look up the magnetic moment of the first one.

0.3 μB/cell